MnBAs2O6 | GGA+U | optimized geometry

The structure in POSCAR format:
```
MnBAs2O6
1.0
7.634 -3.995 0.000
7.634 3.995 0.000
-1.507 0.000 4.588
Mn B As O
2 2 4 12
Direct
0.106 0.894 0.750
0.894 0.106 0.250
0.205 0.795 0.250
0.795 0.205 0.750
0.192 0.472 0.858
0.472 0.192 0.358
0.528 0.808 0.642
0.808 0.528 0.142
0.029 0.841 0.337
0.159 0.971 0.163
0.256 0.654 0.978
0.263 0.409 0.503
0.346 0.744 0.522
0.409 0.263 0.003
0.591 0.737 0.997
0.654 0.256 0.478
0.737 0.591 0.497
0.744 0.346 0.022
0.841 0.029 0.837
0.971 0.159 0.663
```

- SG: C2/c, No. 15


SrSc2CoO | GGA+U | optimized geometry

The structure in POSCAR format:
```
SrSc2CoO
1.0
5.334 0.000 0.000
0.000 5.334 0.000
0.000 0.000 4.223
Sr Sc Co O
1 2 1 1
Direct
0.000 0.000 0.000
0.000 0.500 0.000
0.500 0.000 0.000
0.000 0.000 0.500
0.500 0.500 0.500
```

- SG: P4/mmm, No. 123


These records have E_tot values of -6.72, -2.91 eV/atom, in the order they appear.